# YHg2As | Alexandria via LeMat-Bulk | PBE | optimized geometry
# formation energy: -525 meV per atom
# calculated density: 9.45 Mg/m³
# DFT total energy: -3.45 eV per atom
data_YHg2As
_space_group_name_H-M_alt 'I m m m'
_space_group_IT_number 71
_space_group_name_Hall '-I 2 2'
_cell_length_a 4.0628
_cell_length_b 4.1323
_cell_length_c 11.8234
_cell_angle_alpha 90.00
_cell_angle_beta 90.00
_cell_angle_gamma 90.00
loop_
_atom_site_label
_atom_site_fract_x
_atom_site_fract_y
_atom_site_fract_z
_atom_site_occupancy
Y1 0.0000 0.0000 0.0000 1
Hg1 0.0000 0.5000 0.2215 1
As1 0.0000 0.0000 0.5000 1

***

# CsPdN2F | Alexandria via LeMat-Bulk | PBE | optimized geometry
# formation energy from raw total energies: 304 meV/atom
# calculated density: 4.52 Mg/m³
# DFT total energy: -4.61 eV per atom
data_CsPdN2F
_space_group_name_H-M_alt 'P 4/m m m'
_space_group_IT_number 123
_space_group_name_Hall '-P 4 2'
_cell_length_a 3.9425
_cell_length_b 3.9425
_cell_length_c 6.7718
_cell_angle_alpha 90.00
_cell_angle_beta 90.00
_cell_angle_gamma 90.00
loop_
_atom_site_label
_atom_site_fract_x
_atom_site_fract_y
_atom_site_fract_z
_atom_site_occupancy
Cs1 0.0000 0.0000 0.0000 1
Pd1 0.5000 0.5000 0.5000 1
N1 0.0000 0.5000 0.5000 1
F1 0.5000 0.5000 0.0000 1

***

# Si2RhNO | Alexandria via LeMat-Bulk | PBE | optimized geometry
# formation energy from raw total energies: -838 meV/atom
# calculated density: 5.53 Mg/m³
# DFT total energy: -7.13 eV per atom
data_Si2RhNO
_space_group_name_H-M_alt 'C 1 m 1'
_space_group_IT_number 8
_cell_length_a 12.5355
_cell_length_b 3.1868
_cell_length_c 2.8735
_cell_angle_alpha 90.00
_cell_angle_beta 98.75
_cell_angle_gamma 90.00
loop_
_space_group_symop_operation_xyz
'x,y,z'
'x,-y,z'
'x+1/2,y+1/2,z'
'x+1/2,-y+1/2,z'
loop_
_atom_site_label
_atom_site_fract_x
_atom_site_fract_y
_atom_site_fract_z
_atom_site_occupancy
Si1 0.0000 0.0000 0.0000 1
Si2 0.2274 0.0000 0.8037 1
Rh1 0.3328 0.5000 0.2996 1
N1 0.1419 0.0000 0.2562 1
O1 0.0096 0.5000 0.7827 1

***

# ZnFe4Co | Alexandria via LeMat-Bulk | PBE | optimized geometry
# formation energy: 164 meV per atom
# calculated density: 8.03 Mg/m³
# DFT total energy: -6.87 eV per atom
data_ZnFe4Co
_space_group_name_H-M_alt 'F -4 3 m'
_space_group_IT_number 216
_space_group_name_Hall 'F -4 2 3'
_cell_length_a 6.6017
_cell_length_b 6.6017
_cell_length_c 6.6017
_cell_angle_alpha 90.00
_cell_angle_beta 90.00
_cell_angle_gamma 90.00
loop_
_atom_site_label
_atom_site_fract_x
_atom_site_fract_y
_atom_site_fract_z
_atom_site_occupancy
Zn1 0.0000 0.0000 0.0000 1
Fe1 0.1247 0.1247 0.3753 1
Co1 0.2500 0.2500 0.7500 1

***

# TcSb2PtI | Alexandria via LeMat-Bulk | PBE | optimized geometry
# formation energy from raw total energies: 897 meV/atom
# calculated density: 7.98 Mg/m³
# DFT total energy: -4.34 eV per atom
data_TcSb2PtI
_space_group_name_H-M_alt 'P 4/m m m'
_space_group_IT_number 123
_space_group_name_Hall '-P 4 2'
_cell_length_a 5.0422
_cell_length_b 5.0422
_cell_length_c 5.4319
_cell_angle_alpha 90.00
_cell_angle_beta 90.00
_cell_angle_gamma 90.00
loop_
_atom_site_label
_atom_site_fract_x
_atom_site_fract_y
_atom_site_fract_z
_atom_site_occupancy
Tc1 0.0000 0.0000 0.0000 1
Sb1 0.0000 0.5000 0.0000 1
Pt1 0.5000 0.5000 0.5000 1
I1 0.0000 0.0000 0.5000 1

***

# Nd2U2Te2Se5 | Alexandria via LeMat-Bulk | PBE | optimized geometry
# formation energy from raw total energies: -1167 meV/atom
# calculated density: 5.98 Mg/m³
# DFT total energy: -6.24 eV per atom
data_Nd2U2Te2Se5
_space_group_name_H-M_alt 'I 4/m m m'
_space_group_IT_number 139
_space_group_name_Hall '-I 4 2'
_cell_length_a 5.5057
_cell_length_b 5.5057
_cell_length_c 25.9023
_cell_angle_alpha 90.00
_cell_angle_beta 90.00
_cell_angle_gamma 90.00
loop_
_atom_site_label
_atom_site_fract_x
_atom_site_fract_y
_atom_site_fract_z
_atom_site_occupancy
Nd1 0.0000 0.0000 0.1625 1
U1 0.0000 0.0000 0.3957 1
Te1 0.0000 0.0000 0.2815 1
Se1 0.0000 0.0000 0.5000 1
Se2 0.0000 0.5000 0.1105 1

***

# SrHgN2 | Alexandria via LeMat-Bulk | PBE | optimized geometry
# formation energy from raw total energies: 754 meV/atom
# calculated density: 6.52 Mg/m³
# DFT total energy: -3.90 eV per atom
data_SrHgN2
_space_group_name_H-M_alt 'I -4 2 d'
_space_group_IT_number 122
_space_group_name_Hall 'I -4 2bw'
_cell_length_a 5.0184
_cell_length_b 5.0184
_cell_length_c 12.7851
_cell_angle_alpha 90.00
_cell_angle_beta 90.00
_cell_angle_gamma 90.00
loop_
_atom_site_label
_atom_site_fract_x
_atom_site_fract_y
_atom_site_fract_z
_atom_site_occupancy
Sr1 0.0000 0.0000 0.0000 1
Hg1 0.0000 0.0000 0.5000 1
N1 0.2012 0.2500 0.6250 1

***

# Zr3W | Alexandria via LeMat-Bulk | PBE | optimized geometry
# formation energy: 264 meV per atom
# calculated density: 9.10 Mg/m³
# DFT total energy: -9.39 eV per atom
data_Zr3W
_space_group_name_H-M_alt 'I 4/m m m'
_space_group_IT_number 139
_space_group_name_Hall '-I 4 2'
_cell_length_a 4.1098
_cell_length_b 4.1098
_cell_length_c 19.7745
_cell_angle_alpha 90.00
_cell_angle_beta 90.00
_cell_angle_gamma 90.00
loop_
_atom_site_label
_atom_site_fract_x
_atom_site_fract_y
_atom_site_fract_z
_atom_site_occupancy
Zr1 0.0000 0.0000 0.1262 1
Zr2 0.0000 0.5000 0.0000 1
Zr3 0.0000 0.5000 0.2500 1
W1 0.0000 0.0000 0.3786 1

***

# AcTm2CrN4 | Alexandria via LeMat-Bulk | PBE | optimized geometry
# formation energy from raw total energies: -1286 meV/atom
# calculated density: 9.55 Mg/m³
# DFT total energy: -8.28 eV per atom
data_AcTm2CrN4
_space_group_name_H-M_alt 'C m c m'
_space_group_IT_number 63
_space_group_name_Hall '-C 2c 2'
_cell_length_a 3.4434
_cell_length_b 11.7815
_cell_length_c 11.5419
_cell_angle_alpha 90.00
_cell_angle_beta 90.00
_cell_angle_gamma 90.00
loop_
_atom_site_label
_atom_site_fract_x
_atom_site_fract_y
_atom_site_fract_z
_atom_site_occupancy
Ac1 0.0000 0.0913 0.2500 1
Tm1 0.0000 0.3690 0.0437 1
Cr1 0.0000 0.1711 0.7500 1
N1 0.0000 0.0000 0.0000 1
N2 0.0000 0.2608 0.6209 1
N3 0.0000 0.4111 0.2500 1

***

# Li2Ac3Co | Alexandria via LeMat-Bulk | PBE | optimized geometry
# formation energy: 109 meV per atom
# calculated density: 6.73 Mg/m³
# DFT total energy: -3.77 eV per atom
data_Li2Ac3Co
_space_group_name_H-M_alt 'C 1 2/c 1'
_space_group_IT_number 15
_cell_length_a 10.1565
_cell_length_b 9.9649
_cell_length_c 7.4986
_cell_angle_alpha 90.00
_cell_angle_beta 101.39
_cell_angle_gamma 90.00
loop_
_space_group_symop_operation_xyz
'x,y,z'
'-x,-y,-z'
'-x,y,-z+1/2'
'x,-y,z+1/2'
'x+1/2,y+1/2,z'
'-x+1/2,-y+1/2,-z'
'-x+1/2,y+1/2,-z+1/2'
'x+1/2,-y+1/2,z+1/2'
loop_
_atom_site_label
_atom_site_fract_x
_atom_site_fract_y
_atom_site_fract_z
_atom_site_occupancy
Li1 0.1636 0.2329 0.1112 1
Ac1 0.0000 0.0865 0.7500 1
Ac2 0.1564 0.4200 0.4845 1
Co1 0.0000 0.3740 0.7500 1

***

# NaNdY2Se4 | Alexandria via LeMat-Bulk | PBE | optimized geometry
# formation energy from raw total energies: -1759 meV/atom
# calculated density: 5.40 Mg/m³
# DFT total energy: -5.88 eV per atom
data_NaNdY2Se4
_space_group_name_H-M_alt 'P 1 2/m 1'
_space_group_IT_number 10
_cell_length_a 7.2043
_cell_length_b 4.1181
_cell_length_c 7.2388
_cell_angle_alpha 90.00
_cell_angle_beta 108.93
_cell_angle_gamma 90.00
loop_
_space_group_symop_operation_xyz
'x,y,z'
'-x,-y,-z'
'-x,y,-z'
'x,-y,z'
loop_
_atom_site_label
_atom_site_fract_x
_atom_site_fract_y
_atom_site_fract_z
_atom_site_occupancy
Na1 0.0000 0.0000 0.0000 1
Nd1 0.5000 0.5000 0.0000 1
Y1 0.0000 0.5000 0.5000 1
Y2 0.5000 0.0000 0.5000 1
Se1 0.2429 0.0000 0.7408 1
Se2 0.2523 0.5000 0.2603 1

***

# MgFePb2 | Alexandria via LeMat-Bulk | PBE | optimized geometry
# formation energy: 388 meV per atom
# calculated density: 8.91 Mg/m³
# DFT total energy: -3.98 eV per atom
data_MgFePb2
_space_group_name_H-M_alt 'I -4 m 2'
_space_group_IT_number 119
_space_group_name_Hall 'I -4 -2'
_cell_length_a 4.2524
_cell_length_b 4.2524
_cell_length_c 10.1995
_cell_angle_alpha 90.00
_cell_angle_beta 90.00
_cell_angle_gamma 90.00
loop_
_atom_site_label
_atom_site_fract_x
_atom_site_fract_y
_atom_site_fract_z
_atom_site_occupancy
Mg1 0.0000 0.0000 0.0000 1
Fe1 0.0000 0.5000 0.2500 1
Pb1 0.0000 0.0000 0.5000 1
Pb2 0.0000 0.5000 0.7500 1

***

# FeNi7Ge2Te2 | Alexandria via LeMat-Bulk | PBE | optimized geometry
# formation energy from raw total energies: -77 meV/atom
# calculated density: 7.74 Mg/m³
# DFT total energy: -5.45 eV per atom
data_FeNi7Ge2Te2
_space_group_name_H-M_alt 'C 1 2/m 1'
_space_group_IT_number 12
_cell_length_a 5.1452
_cell_length_b 5.1459
_cell_length_c 14.2904
_cell_angle_alpha 90.00
_cell_angle_beta 100.26
_cell_angle_gamma 90.00
loop_
_space_group_symop_operation_xyz
'x,y,z'
'-x,-y,-z'
'-x,y,-z'
'x,-y,z'
'x+1/2,y+1/2,z'
'-x+1/2,-y+1/2,-z'
'-x+1/2,y+1/2,-z'
'x+1/2,-y+1/2,z'
loop_
_atom_site_label
_atom_site_fract_x
_atom_site_fract_y
_atom_site_fract_z
_atom_site_occupancy
Fe1 0.0000 0.0000 0.0000 1
Ni1 0.0000 0.5000 0.0000 1
Ni2 0.1896 0.2501 0.8780 1
Ni3 0.2000 0.5000 0.4000 1
Ge1 0.1148 0.5000 0.2316 1
Te1 0.2069 0.0000 0.4142 1

***

# Y2POsBr | Alexandria via LeMat-Bulk | PBE | optimized geometry
# formation energy from raw total energies: 531 meV/atom
# calculated density: 5.95 Mg/m³
# DFT total energy: -5.72 eV per atom
data_Y2POsBr
_space_group_name_H-M_alt 'P 4/m m m'
_space_group_IT_number 123
_space_group_name_Hall '-P 4 2'
_cell_length_a 5.3125
_cell_length_b 5.3125
_cell_length_c 4.7376
_cell_angle_alpha 90.00
_cell_angle_beta 90.00
_cell_angle_gamma 90.00
loop_
_atom_site_label
_atom_site_fract_x
_atom_site_fract_y
_atom_site_fract_z
_atom_site_occupancy
Y1 0.0000 0.5000 0.0000 1
P1 0.0000 0.0000 0.0000 1
Os1 0.5000 0.5000 0.5000 1
Br1 0.0000 0.0000 0.5000 1

***

# CaErTh2P4 | Alexandria via LeMat-Bulk | PBE | optimized geometry
# formation energy: -1490 meV per atom
# calculated density: 6.77 Mg/m³
# DFT total energy: -6.87 eV per atom
data_CaErTh2P4
_space_group_name_H-M_alt 'P 1 2/m 1'
_space_group_IT_number 10
_cell_length_a 7.0349
_cell_length_b 4.1213
_cell_length_c 7.1485
_cell_angle_alpha 90.00
_cell_angle_beta 109.69
_cell_angle_gamma 90.00
loop_
_space_group_symop_operation_xyz
'x,y,z'
'-x,-y,-z'
'-x,y,-z'
'x,-y,z'
loop_
_atom_site_label
_atom_site_fract_x
_atom_site_fract_y
_atom_site_fract_z
_atom_site_occupancy
Ca1 0.0000 0.0000 0.0000 1
Er1 0.0000 0.5000 0.5000 1
Th1 0.5000 0.0000 0.5000 1
Th2 0.5000 0.5000 0.0000 1
P1 0.2451 0.0000 0.7443 1
P2 0.2512 0.5000 0.2550 1

***

# YSc2Re | Alexandria via LeMat-Bulk | PBE | optimized geometry
# formation energy: 286 meV per atom
# calculated density: 7.18 Mg/m³
# DFT total energy: -7.61 eV per atom
data_YSc2Re
_space_group_name_H-M_alt 'P -1'
_space_group_IT_number 2
_cell_length_a 3.0359
_cell_length_b 5.5844
_cell_length_c 5.8417
_cell_angle_alpha 116.60
_cell_angle_beta 101.80
_cell_angle_gamma 96.12
loop_
_space_group_symop_operation_xyz
'x,y,z'
'-x,-y,-z'
loop_
_atom_site_label
_atom_site_fract_x
_atom_site_fract_y
_atom_site_fract_z
_atom_site_occupancy
Y1 0.0000 0.0000 0.0000 1
Sc1 0.0000 0.5000 0.5000 1
Sc2 0.5000 0.0000 0.5000 1
Re1 0.5000 0.5000 0.0000 1

***

# LaAgSn | Alexandria via LeMat-Bulk | PBE | optimized geometry
# formation energy: -592 meV per atom
# calculated density: 7.52 Mg/m³
# DFT total energy: -4.52 eV per atom
data_LaAgSn
_space_group_name_H-M_alt 'P 3 m 1'
_space_group_IT_number 156
_cell_length_a 4.8420
_cell_length_b 4.8420
_cell_length_c 3.9723
_cell_angle_alpha 90.00
_cell_angle_beta 90.00
_cell_angle_gamma 120.00
loop_
_space_group_symop_operation_xyz
'x,y,z'
'-y,x-y,z'
'-x+y,-x,z'
'-y,-x,z'
'-x+y,y,z'
'x,x-y,z'
loop_
_atom_site_label
_atom_site_fract_x
_atom_site_fract_y
_atom_site_fract_z
_atom_site_occupancy
La1 0.0000 0.0000 0.0000 1
Ag1 0.3333 0.6667 0.5005 1
Sn1 0.6667 0.3333 0.4991 1

***

# Ac3PaFe2N6 | Alexandria via LeMat-Bulk | PBE | optimized geometry
# formation energy from raw total energies: -856 meV/atom
# calculated density: 8.69 Mg/m³
# DFT total energy: -8.25 eV per atom
data_Ac3PaFe2N6
_space_group_name_H-M_alt 'P -3 m 1'
_space_group_IT_number 164
_space_group_name_Hall '-P 3 2"'
_cell_length_a 5.9581
_cell_length_b 5.9581
_cell_length_c 6.8842
_cell_angle_alpha 90.00
_cell_angle_beta 90.00
_cell_angle_gamma 120.00
loop_
_atom_site_label
_atom_site_fract_x
_atom_site_fract_y
_atom_site_fract_z
_atom_site_occupancy
Ac1 0.0000 0.0000 0.0000 1
Ac2 0.3333 0.6667 0.6763 1
Pa1 0.0000 0.0000 0.5000 1
Fe1 0.3333 0.6667 0.2042 1
N1 0.1711 0.3421 0.2977 1

***

# TaMnIn2 | Alexandria via LeMat-Bulk | PBE | optimized geometry
# formation energy: 193 meV per atom
# calculated density: 10.08 Mg/m³
# DFT total energy: -6.43 eV per atom
data_TaMnIn2
_space_group_name_H-M_alt 'P 4 m m'
_space_group_IT_number 99
_cell_length_a 3.0901
_cell_length_b 3.0901
_cell_length_c 8.0286
_cell_angle_alpha 90.00
_cell_angle_beta 90.00
_cell_angle_gamma 90.00
loop_
_space_group_symop_operation_xyz
'x,y,z'
'-y,x,z'
'-x,-y,z'
'y,-x,z'
'-x,y,z'
'y,x,z'
'x,-y,z'
'-y,-x,z'
loop_
_atom_site_label
_atom_site_fract_x
_atom_site_fract_y
_atom_site_fract_z
_atom_site_occupancy
Ta1 0.0000 0.0000 0.0000 1
Mn1 0.5000 0.5000 0.8376 1
In1 0.0000 0.0000 0.6123 1
In2 0.5000 0.5000 0.2758 1

***

# CdSiIr2W | Alexandria via LeMat-Bulk | PBE | optimized geometry
# formation energy from raw total energies: 1190 meV/atom
# calculated density: 12.72 Mg/m³
# DFT total energy: -6.21 eV per atom
data_CdSiIr2W
_space_group_name_H-M_alt 'P 4/m m m'
_space_group_IT_number 123
_space_group_name_Hall '-P 4 2'
_cell_length_a 4.4022
_cell_length_b 4.4022
_cell_length_c 4.7758
_cell_angle_alpha 90.00
_cell_angle_beta 90.00
_cell_angle_gamma 90.00
loop_
_atom_site_label
_atom_site_fract_x
_atom_site_fract_y
_atom_site_fract_z
_atom_site_occupancy
Cd1 0.0000 0.0000 0.0000 1
Si1 0.0000 0.0000 0.5000 1
Ir1 0.0000 0.5000 0.5000 1
W1 0.5000 0.5000 0.0000 1